DFT (PBE) results for a relaxed structure of Sc3TlCr.

```
5
Lattice="4.8908 0.0000 0.0000 0.0000 4.8908 0.0000 0.0000 0.0000 4.8908" Properties=species:S:1:pos:R:3 pbc="T T T"
Sc 0.0000 0.0000 2.4454
Sc 0.0000 2.4454 0.0000
Sc 2.4454 0.0000 0.0000
Tl 2.4454 2.4454 2.4454
Cr 0.0000 0.0000 0.0000
```

Values from the calculation:
DOS(E_F) in states/eV/cell: 6.9
E in eV/atom: -5.86
DFT formation energy in kcal/mol of atoms: 7.7
Total magnetization in μB/atom: 0.002



DFT (PBE) results for a relaxed structure of Sc2TlCr.

```
4
Lattice="3.4027 0.0000 0.0000 0.0000 3.4027 0.0000 0.0000 0.0000 7.1497" Properties=species:S:1:pos:R:3 pbc="T T T"
Sc 0.0000 0.0000 1.5850
Sc 0.0000 0.0000 5.5647
Tl 1.7014 1.7014 3.5749
Cr 1.7014 1.7014 0.0000
```

Values from the calculation:
DOS(E_F) in states/eV/cell: 3.6
E in eV/atom: -6.18
DFT formation energy in kcal/mol of atoms: -0.3
Total magnetization in μB/atom: 0.609



DFT (PBE) results for a relaxed structure of Sc2TlCr.

```
4
Lattice="1.6300 0.9411 9.3422 -1.6300 0.9411 9.3422 0.0000 -1.8822 9.3422" Properties=species:S:1:pos:R:3 pbc="T T T"
Sc 0.0000 0.0000 6.7668
Sc 0.0000 0.0000 21.2596
Tl 0.0000 0.0000 0.0000
Cr 0.0000 0.0000 14.0132
```

Values from the calculation:
DOS(E_F) in states/eV/cell: 3.5
E in eV/atom: -6.00
DFT formation energy in kcal/mol of atoms: 3.7
Total magnetization in μB/atom: 0.640



DFT (PBE) results for a relaxed structure of Sc2TlCr.

```
4
Lattice="3.6823 0.0000 0.0000 0.0000 3.6823 0.0000 0.0000 0.0000 6.4458" Properties=species:S:1:pos:R:3 pbc="T T T"
Sc 0.0000 0.0000 0.0000
Sc 1.8411 1.8411 1.7704
Tl 0.0000 0.0000 3.4267
Cr 1.8411 1.8411 5.0698
```

Values from the calculation:
DOS(E_F) in states/eV/cell: 4.3
E in eV/atom: -5.99
DFT formation energy in kcal/mol of atoms: 3.9
Total magnetization in μB/atom: 0.807



DFT (PBE) results for a relaxed structure of Sc3TlCr.

```
5
Lattice="5.3574 0.0000 0.0000 0.0000 5.3574 0.0000 0.0000 0.0000 5.3574" Properties=species:S:1:pos:R:3 pbc="T T T"
Sc 0.0000 0.0000 2.6787
Sc 0.0000 2.6787 0.0000
Sc 2.6787 0.0000 0.0000
Tl 0.0000 0.0000 0.0000
Cr 2.6787 2.6787 2.6787
```

Values from the calculation:
DOS(E_F) in states/eV/cell: 8.1
E in eV/atom: -5.32
DFT formation energy in kcal/mol of atoms: 20.2
Total magnetization in μB/atom: 1.253



DFT (PBE) results for a relaxed structure of ScTl2Cr.

```
4
Lattice="1.6638 0.9606 9.8328 -1.6638 0.9606 9.8328 0.0000 -1.9212 9.8328" Properties=species:S:1:pos:R:3 pbc="T T T"
Sc 0.0000 0.0000 0.0000
Tl 0.0000 0.0000 15.2151
Tl 0.0000 0.0000 22.2333
Cr 0.0000 0.0000 7.7457
```

Values from the calculation:
DOS(E_F) in states/eV/cell: 3.9
E in eV/atom: -4.83
DFT formation energy in kcal/mol of atoms: 8.0
Total magnetization in μB/atom: 0.806



Look up the E of the third one. -6.00 eV/atom



Copy entry 6 word for word.
DFT (PBE) results for a relaxed structure of ScTl2Cr.

```
4
Lattice="1.6638 0.9606 9.8328 -1.6638 0.9606 9.8328 0.0000 -1.9212 9.8328" Properties=species:S:1:pos:R:3 pbc="T T T"
Sc 0.0000 0.0000 0.0000
Tl 0.0000 0.0000 15.2151
Tl 0.0000 0.0000 22.2333
Cr 0.0000 0.0000 7.7457
```

Values from the calculation:
DOS(E_F) in states/eV/cell: 3.9
E in eV/atom: -4.83
DFT formation energy in kcal/mol of atoms: 8.0
Total magnetization in μB/atom: 0.806